{
  "formula": "Ta2TcW",
  "functional": "PBE-GGA",
  "state": "optimized geometry",
  "cell": [[-0.553, -1.739, -2.633], [-0.945, -3.671, 2.622], [-4.336, 1.201, 0.118]],
  "species": ["Ta", "Ta", "Tc", "W"],
  "frac_coords": [[0.000, 0.000, 0.000], [0.500, 0.500, 0.000], [0.500, 0.000, 0.500], [0.000, 0.500, 0.500]],
  "sg": "Pmmm",
  "ef_ev_per_atom": -0.178,
  "de_polymorph_mev_per_atom": 126
}

---

{
  "formula": "Pm3HgS6",
  "functional": "PBE-GGA",
  "state": "optimized geometry",
  "cell": [[-1.062, 5.760, 3.533], [-8.540, -1.370, -0.332], [2.143, -4.094, 7.319]],
  "species": ["Pm", "Pm", "Pm", "Pm", "Pm", "Pm", "Hg", "Hg", "S", "S", "S", "S", "S", "S", "S", "S", "S", "S", "S", "S"],
  "frac_coords": [[0.482, 0.915, 0.719], [0.982, 0.719, 0.915], [0.389, 0.400, 0.600], [0.889, 0.600, 0.400], [0.982, 0.085, 0.281], [0.482, 0.281, 0.085], [0.001, 0.203, 0.797], [0.501, 0.797, 0.203], [0.185, 0.693, 0.630], [0.685, 0.630, 0.693], [0.216, 0.448, 0.909], [0.716, 0.909, 0.448], [0.188, 0.030, 0.970], [0.642, 0.225, 0.775], [0.142, 0.775, 0.225], [0.688, 0.970, 0.030], [0.216, 0.091, 0.552], [0.716, 0.552, 0.091], [0.185, 0.370, 0.307], [0.685, 0.307, 0.370]],
  "sg": "Cmc2_1",
  "formation_energy_uncorrected_ev_per_atom": -1.48
}

---

{
  "formula": "SiAsPt",
  "functional": "PBE-GGA",
  "state": "optimized geometry",
  "cell": [[-3.753, -0.445, -1.941], [-1.766, -3.848, -0.353], [-3.463, -0.964, 2.266]],
  "species": ["As", "Pt", "Si"],
  "frac_coords": [[0.500, 0.500, 0.500], [0.750, 0.750, 0.750], [0.000, 0.000, 0.000]],
  "sg": "F-43m",
  "de_polymorph_mev_per_atom": 104,
  "formation_energy_uncorrected_ev_per_atom": -0.25
}

---

{
  "formula": "PrHoErAg",
  "functional": "PBE-GGA",
  "state": "optimized geometry",
  "cell": [[5.431, 0.000, 0.000], [2.715, 4.703, 0.000], [2.715, 1.568, 4.434]],
  "species": ["Pr", "Ho", "Ag", "Er"],
  "frac_coords": [[0.500, 0.500, 0.500], [0.000, 0.000, 0.000], [0.250, 0.250, 0.250], [0.750, 0.750, 0.750]],
  "sg": "F-43m",
  "ef_ev_per_atom": 0.064,
  "de_polymorph_mev_per_atom": 199
}

---

| no. | theoretical density (g/cm3) | final energy (eV/atom) |
| --- | --- | --- |
| 1 | 16.1 | -11.93 |
| 2 | 5.5 | -5.41 |
| 3 | 9.1 | -5.62 |
| 4 | 8.5 | -4.13 |